VCuOF2, optimized geometry, DFT PBE+U; Fermi-level density of states = 0.20 states/eV/atom; total magnetization = 1.9 μB/f.u.; V = 61.9 Å³/f.u.; distance to the lowest polymorph of the same formula = 0.000 eV/atom; crystal system = tetragonal
1.0
4.047 0.000 0.000
0.000 4.047 0.000
0.000 0.000 3.777
F O Cu V
2 1 1 1
Cartesian
0.000 2.024 0.000
2.024 0.000 0.000
0.000 0.000 1.889
2.024 2.024 1.889
0.000 0.000 0.000